A geometry-optimized SmHoB4 structure, computed with PBE.

## Properties
Its size of the total moment is 0.000 μB per atom. The crystal system is orthorhombic. As for the excess energy over the best structure of this formula in the dataset: 12.2 meV per atom.

Cell: 5.1401 5.1401 5.1401 Å, 142.48 112.25 80.10°
Closest atoms and distances in Å follow each position.
Positions (direct):
Sm: 0.0000 0.0000 0.0000  12 B 2.73-2.75
Ho: 0.5000 0.5000 0.0000  12 B 2.73-2.75
B: 0.0847 0.7513 0.3334  3 B 1.91
B: 0.4179 0.7513 0.6666  3 B 1.91
B: 0.5821 0.2487 0.3334  3 B 1.91
B: 0.9153 0.2487 0.6666  3 B 1.91



A geometry-optimized SmPaPb structure, computed with PBE.

## Properties
Its size of the total moment is 0.714 μB per atom. The crystal system is cubic. As for the excess energy over the best structure of this formula in the dataset: 273.9 meV per atom.

Cell: 5.2446 5.2446 5.2446 Å, 60.00 60.00 60.00°
Closest atoms and distances in Å follow each position.
Positions (direct):
Sm: 0.0000 0.0000 0.0000  4 Pb 3.21
Pa: 0.5000 0.5000 0.5000  4 Pb 3.21
Pb: 0.7500 0.7500 0.7500  4 Pa 3.21, 4 Sm 3.21



A geometry-optimized BaHoIn structure, computed with PBE.

## Properties
Its size of the total moment is 0.000 μB per atom. The crystal system is hexagonal. As for the excess energy over the best structure of this formula in the dataset: 0.0 meV per atom.

Cell: 5.8110 5.8110 10.6967 Å, 90.00 90.00 120.00°
Closest atoms and distances in Å follow each position.
Positions (direct):
Ba: 0.0000 0.0000 0.0000  3 In 3.35
Ba: 0.6667 0.3333 0.3198  4 In 3.38-3.42, 3 Ho 3.74
Ba: 0.6667 0.3333 0.6802  4 In 3.38-3.42, 3 Ho 3.74
Ho: 0.3333 0.6667 0.1647  2 Ho 3.52-3.59, 6 Ba 3.74-3.79, 6 In 3.79-3.94
Ho: 0.3333 0.6667 0.5000  2 Ho 3.59, 6 In 3.68, 6 Ba 3.87
Ho: 0.3333 0.6667 0.8353  2 Ho 3.52-3.59, 6 Ba 3.74-3.79, 6 In 3.79-3.94
In: 0.0000 0.0000 0.3580  1 In 3.04, 3 Ba 3.38
In: 0.0000 0.0000 0.6420  1 In 3.04, 3 Ba 3.38
In: 0.6667 0.3333 0.0000  5 Ba 3.35-3.42



Number 1: final energy -6.479 eV/atom. Number 2: final energy -5.579 eV/atom. Number 3: final energy -3.158 eV/atom.